CoCu3F: optimized geometry, GGA+U. Values from VASP.

The space-group type is Pm-3m (221). The total energy comes out at -3.39 eV/atom. For the energy above the most stable polymorph in this dataset, the calculation gives 0 meV per atom.

Structure (Quantum ESPRESSO input):
```
&SYSTEM
  ibrav = 0, nat = 5, ntyp = 3
/
ATOMIC_SPECIES
Co 58.93 Co.upf
Cu 63.55 Cu.upf
F 19.00 F.upf
CELL_PARAMETERS angstrom
4.125 0.000 0.000
0.000 4.125 0.000
0.000 0.000 4.125
ATOMIC_POSITIONS angstrom
Co 2.062 2.062 2.062
Cu 2.062 0.000 0.000
Cu 0.000 0.000 2.062
F 0.000 0.000 0.000
Cu 0.000 2.062 0.000
```